--- A ---
Crystalline CaSc3Pb at its relaxed geometry, computed with GGA-PBE.

SG	No. 221
D(E_F)	1.70	states/eV/atom
crystal system	cubic
mass density	4.4	g/cm³

abc: 5.2275 5.2275 5.2275
angles: 90.00 90.00 90.00
Atoms (fractional coordinates):
1 Pb 0.5000 0.5000 0.5000
2 Sc 0.0000 0.5000 0.0000
3 Sc 0.0000 0.0000 0.5000
4 Sc 0.5000 0.0000 0.0000
5 Ca 0.0000 0.0000 0.0000

--- B ---
Crystalline CaSc3Pb at its relaxed geometry, computed with GGA-PBE.

SG	No. 221
D(E_F)	1.69	states/eV/atom
crystal system	cubic
mass density	3.7	g/cm³

abc: 5.5385 5.5385 5.5385
angles: 90.00 90.00 90.00
Atoms (fractional coordinates):
1 Pb 0.0000 0.0000 0.0000
2 Sc 0.0000 0.5000 0.0000
3 Sc 0.0000 0.0000 0.5000
4 Sc 0.5000 0.0000 0.0000
5 Ca 0.5000 0.5000 0.5000

Most stable pick: B. Distance to second place: 666 meV/atom.

--- A ---
Crystalline Ca2PbSe at its relaxed geometry, computed with GGA-PBE.

SG	No. 119
D(E_F)	0.63	states/eV/atom
crystal system	tetragonal
mass density	5.3	g/cm³

abc: 6.7387 6.7387 6.7387
angles: 141.92 141.92 54.95
Atoms (fractional coordinates):
1 Pb 0.5000 0.5000 0.0000
2 Ca 0.0000 0.0000 0.0000
3 Ca 0.7500 0.2500 0.5000
4 Se 0.2500 0.7500 0.5000

--- B ---
Crystalline Ca2PbSe at its relaxed geometry, computed with GGA-PBE.

SG	No. 99
D(E_F)	0.45	states/eV/atom
crystal system	tetragonal
mass density	4.5	g/cm³

abc: 3.9458 3.9458 8.7498
angles: 90.00 90.00 90.00
Atoms (fractional coordinates):
1 Pb 0.0000 0.0000 0.4706
2 Ca 0.0000 0.0000 0.8435
3 Ca 0.5000 0.5000 0.2552
4 Se 0.5000 0.5000 0.9307

--- C ---
Crystalline Ca2PbSe at its relaxed geometry, computed with GGA-PBE.

SG	No. 123
D(E_F)	0.12	states/eV/atom
crystal system	tetragonal
mass density	5.6	g/cm³

abc: 3.6274 3.6275 8.2983
angles: 90.00 90.00 90.06
Atoms (fractional coordinates):
1 Pb 0.5000 0.5000 0.2500
2 Ca 0.0000 0.0000 0.9649
3 Ca 0.0000 0.0000 0.5351
4 Se 0.5000 0.5000 0.7500

Most stable pick: C. Distance to second place: 86 meV/atom.

--- A ---
Crystalline Ca2PbSe at its relaxed geometry, computed with GGA-PBE.

SG	No. 44
D(E_F)	0.29	states/eV/atom
crystal system	orthorhombic
mass density	5.0	g/cm³

abc: 8.8708 8.8708 8.8708
angles: 155.64 155.05 35.15
Atoms (fractional coordinates):
1 Pb 0.4441 0.4441 0.0000
2 Ca 0.0698 0.0698 0.0000
3 Ca 0.7813 0.2813 0.5000
4 Se 0.2049 0.7049 0.5000

--- B ---
Crystalline Ca2PbSe at its relaxed geometry, computed with GGA-PBE.

SG	No. 123
D(E_F)	0.73	states/eV/atom
crystal system	tetragonal
mass density	5.5	g/cm³

abc: 5.4547 5.4547 3.7454
angles: 90.00 90.00 90.00
Atoms (fractional coordinates):
1 Pb 0.5000 0.0000 0.5000
2 Ca 0.0000 0.0000 0.0000
3 Ca 0.5000 0.5000 0.0000
4 Se 0.0000 0.5000 0.5000

Most stable pick: A. Distance to second place: 190 meV/atom.